Record 1
# SmThTlPb | Alexandria | PBE | relaxed
# DOS at the Fermi energy (states/eV/atom): 1.287
# Formation energy (kJ/mol of atoms): -22.84
# Space-group type: F-43m, No. 216
data_SmThTlPb
_chemical_formula_sum 'Sm1 Th1 Tl1 Pb1'
_cell_length_a 5.524
_cell_length_b 5.524
_cell_length_c 5.524
_cell_angle_alpha 60.00
_cell_angle_beta 60.00
_cell_angle_gamma 60.00
_symmetry_space_group_name_H-M 'P 1'
_symmetry_Int_Tables_number 1
_symmetry_space_group_name_Hall 'P 1'
loop_
_atom_site_label
_atom_site_fract_x
_atom_site_fract_y
_atom_site_fract_z
_atom_site_occupancy
Sm1 0.000 0.000 0.000 1
Th1 0.500 0.500 0.500 1
Tl1 0.750 0.750 0.750 1
Pb1 0.250 0.250 0.250 1

***

Record 2
# MnInBr | Alexandria | PBE | relaxed
# Energy relative to the elements, uncorrected (eV/atom): 0.083
# DOS at the Fermi energy (states/eV/atom): 0.722
# Space-group type: Fmm2, No. 42
data_MnInBr
_chemical_formula_sum 'Mn1 In1 Br1'
_cell_length_a 8.055
_cell_length_b 7.742
_cell_length_c 3.435
_cell_angle_alpha 82.60
_cell_angle_beta 72.39
_cell_angle_gamma 25.02
_symmetry_space_group_name_H-M 'P 1'
_symmetry_Int_Tables_number 1
_symmetry_space_group_name_Hall 'P 1'
loop_
_atom_site_label
_atom_site_fract_x
_atom_site_fract_y
_atom_site_fract_z
_atom_site_occupancy
Mn1 0.000 0.000 0.000 1
In1 0.646 0.646 0.354 1
Br1 0.384 0.384 0.616 1

***

Record 3
# TiPtN2O | Alexandria | PBE | relaxed
# Energy relative to the elements, uncorrected (eV/atom): 0.333
# DOS at the Fermi energy (states/eV/atom): 1.024
# Space-group type: P4/mmm, No. 123
data_TiPtN2O
_chemical_formula_sum 'Ti1 Pt1 N2 O1'
_cell_length_a 4.033
_cell_length_b 4.033
_cell_length_c 3.676
_cell_angle_alpha 90.00
_cell_angle_beta 90.00
_cell_angle_gamma 90.00
_symmetry_space_group_name_H-M 'P 1'
_symmetry_Int_Tables_number 1
_symmetry_space_group_name_Hall 'P 1'
loop_
_atom_site_label
_atom_site_fract_x
_atom_site_fract_y
_atom_site_fract_z
_atom_site_occupancy
Ti1 0.000 0.000 0.000 1
Pt1 0.500 0.500 0.500 1
N1 0.000 0.500 0.000 1
N2 0.500 0.000 0.000 1
O1 0.000 0.000 0.500 1